(1)
Compound: TcTe2SN
Source: Alexandria via LeMat-Bulk
Functional: PBE-GGA
Structure: relaxed

a = 5.259 Å, b = 5.259 Å, c = 3.291 Å
α = 90.00°, β = 90.00°, γ = 90.00°
Sites, in units of the cell vectors:
S: 0.000 0.000 0.000
Te: 0.000 0.500 0.000
Te: 0.500 0.000 0.000
Tc: 0.500 0.500 0.500
N: 0.000 0.000 0.500

Results
* total moment: 0.62 μB per formula unit
* electronic total energy: -23.4 eV for the cell shown
* volume: 18.20 Å³/atom
* polymorph energy (0 for the lowest one): 690 meV/atom
* symmetry: P4/mmm (123)
* crystal system: tetragonal
* density of states at the Fermi level: 4.50 states/eV per cell
* formation energy (no corrections): 1.14 eV/atom


(2)
Compound: ZrCrH2Ir
Source: Alexandria via LeMat-Bulk
Functional: PBE-GGA
Structure: relaxed

a = 3.590 Å, b = 5.333 Å, c = 3.590 Å
α = 90.00°, β = 90.00°, γ = 90.00°
Sites, in units of the cell vectors:
Cr: 0.000 0.500 0.000
Ir: 0.500 0.500 0.500
Zr: 0.000 0.000 0.000
H: 0.000 0.000 0.500
H: 0.500 0.000 0.000

Results
* total moment: 2.26 μB per formula unit
* electronic total energy: -30.7 eV for the cell shown
* volume: 13.75 Å³/atom
* symmetry: P4/mmm (123)
* crystal system: tetragonal
* density of states at the Fermi level: 4.58 states/eV per cell


(3)
Compound: ReAuF2
Source: Alexandria via LeMat-Bulk
Functional: PBE-GGA
Structure: relaxed

a = 4.005 Å, b = 4.005 Å, c = 8.035 Å
α = 75.57°, β = 75.57°, γ = 90.00°
Sites, in units of the cell vectors:
Re: 0.500 0.500 0.000
Re: 0.250 0.750 0.500
Au: 0.000 0.000 0.000
Au: 0.750 0.250 0.500
F: 0.504 0.125 0.250
F: 0.246 0.625 0.250
F: 0.375 0.496 0.750
F: 0.875 0.754 0.750

Results
* total moment: 2.42 μB per formula unit
* electronic total energy: -39.1 eV for the cell shown
* volume: 15.08 Å³/atom
* polymorph energy (0 for the lowest one): 917 meV/atom
* symmetry: I-42d (122)
* crystal system: tetragonal
* density of states at the Fermi level: 4.38 states/eV per cell
* formation energy (no corrections): -0.02 eV/atom


(4)
Compound: TlIn2PbI6
Source: Alexandria via LeMat-Bulk
Functional: PBE-GGA
Structure: relaxed

a = 8.199 Å, b = 8.199 Å, c = 9.166 Å
α = 89.99°, β = 116.57°, γ = 120.03°
Sites, in units of the cell vectors:
Tl: 0.997 0.998 0.981
In: 0.625 0.812 0.423
In: 0.610 0.304 0.899
Pb: 0.976 0.488 0.450
I: 0.472 0.897 0.664
I: 0.516 0.071 0.186
I: 0.756 0.683 0.186
I: 0.128 0.444 0.186
I: 0.781 0.574 0.664
I: 0.105 0.206 0.664

Results
* total moment: 0.00 μB per formula unit
* electronic total energy: -26.1 eV for the cell shown
* volume: 45.68 Å³/atom
* symmetry: R3 (146)
* crystal system: trigonal
* density of states at the Fermi level: 4.27 states/eV per cell
* formation energy (no corrections): -0.52 eV/atom


(5)
Compound: Er2ScSi3Pt4
Source: Alexandria via LeMat-Bulk
Functional: PBE-GGA
Structure: relaxed

a = 4.086 Å, b = 4.086 Å, c = 10.888 Å
α = 90.00°, β = 90.00°, γ = 90.00°
Sites, in units of the cell vectors:
Er: 0.500 0.000 0.231
Er: 0.000 0.500 0.769
Sc: 0.500 0.500 0.500
Si: 0.000 0.000 0.500
Si: 0.500 0.000 0.870
Si: 0.000 0.500 0.130
Pt: 0.500 0.500 0.000
Pt: 0.000 0.000 0.000
Pt: 0.500 0.000 0.653
Pt: 0.000 0.500 0.347

Results
* total moment: 0.00 μB per formula unit
* electronic total energy: -66.9 eV for the cell shown
* volume: 18.18 Å³/atom
* symmetry: P-4m2 (115)
* crystal system: tetragonal
* density of states at the Fermi level: 7.90 states/eV per cell
* formation energy (no corrections): -1.10 eV/atom


(6)
Compound: Tl3GaB
Source: Alexandria via LeMat-Bulk
Functional: PBE-GGA
Structure: relaxed

a = 5.455 Å, b = 5.455 Å, c = 5.455 Å
α = 90.00°, β = 90.00°, γ = 90.00°
Sites, in units of the cell vectors:
Tl: 0.000 0.500 0.000
Tl: 0.000 0.000 0.500
Tl: 0.500 0.000 0.000
B: 0.500 0.500 0.500
Ga: 0.000 0.000 0.000

Results
* total moment: 0.00 μB per formula unit
* electronic total energy: -10.8 eV for the cell shown
* formation enthalpy at 0 K: 1.197 eV/atom
* volume: 32.46 Å³/atom
* polymorph energy (0 for the lowest one): 524 meV/atom
* symmetry: Pm-3m (221)
* crystal system: cubic
* density of states at the Fermi level: 3.95 states/eV per cell


(7)
Compound: HfCu2Se3
Source: Alexandria via LeMat-Bulk
Functional: PBE-GGA
Structure: relaxed

a = 3.782 Å, b = 7.579 Å, c = 10.469 Å
α = 105.92°, β = 90.00°, γ = 90.00°
Sites, in units of the cell vectors:
Hf: 0.250 0.756 0.793
Hf: 0.750 0.244 0.207
Cu: 0.250 0.419 0.416
Cu: 0.750 0.581 0.584
Cu: 0.750 0.049 0.930
Cu: 0.250 0.951 0.070
Se: 0.750 0.919 0.685
Se: 0.250 0.081 0.315
Se: 0.750 0.575 0.342
Se: 0.250 0.425 0.658
Se: 0.250 0.267 0.016
Se: 0.750 0.733 0.984

Results
* total moment: 0.00 μB per formula unit
* electronic total energy: -65.9 eV for the cell shown
* volume: 24.05 Å³/atom
* symmetry: P2_1/m (11)
* crystal system: monoclinic
* density of states at the Fermi level: 0.31 states/eV per cell
* formation energy (no corrections): -0.73 eV/atom


(8)
Compound: KBaSeO4
Source: Alexandria via LeMat-Bulk
Functional: PBE-GGA
Structure: relaxed

a = 6.869 Å, b = 7.140 Å, c = 7.140 Å
α = 64.02°, β = 61.25°, γ = 61.25°
Sites, in units of the cell vectors:
K: 0.500 0.000 0.500
K: 0.000 0.000 0.500
Ba: 0.000 0.000 0.000
Ba: 0.000 0.500 0.500
Se: 0.623 0.627 0.127
Se: 0.377 0.373 0.873
O: 0.725 0.716 0.834
O: 0.275 0.666 0.784
O: 0.725 0.334 0.216
O: 0.275 0.284 0.166
O: 0.294 0.732 0.232
O: 0.741 0.732 0.232
O: 0.259 0.268 0.768
O: 0.706 0.268 0.768

Results
* total moment: 0.66 μB per formula unit
* electronic total energy: -72.1 eV for the cell shown
* volume: 18.52 Å³/atom
* symmetry: Imma (74)
* crystal system: orthorhombic
* density of states at the Fermi level: 4.50 states/eV per cell
* formation energy (no corrections): -1.39 eV/atom


(9)
Compound: CaPmTl
Source: Alexandria via LeMat-Bulk
Functional: PBE-GGA
Structure: relaxed

a = 3.856 Å, b = 5.356 Å, c = 5.356 Å
α = 120.00°, β = 90.00°, γ = 90.00°
Sites, in units of the cell vectors:
Tl: 0.680 0.667 0.333
Ca: 0.388 0.333 0.667
Pm: 0.932 0.000 0.000

Results
* total moment: 0.00 μB per formula unit
* electronic total energy: -9.7 eV for the cell shown
* formation enthalpy at 0 K: -0.189 eV/atom
* volume: 31.94 Å³/atom
* polymorph energy (0 for the lowest one): 175 meV/atom
* symmetry: P3m1 (156)
* crystal system: trigonal
* density of states at the Fermi level: 1.76 states/eV per cell


(10)
Compound: AcZnRh4
Source: Alexandria via LeMat-Bulk
Functional: PBE-GGA
Structure: relaxed

a = 5.377 Å, b = 5.377 Å, c = 5.377 Å
α = 60.00°, β = 60.00°, γ = 60.00°
Sites, in units of the cell vectors:
Ac: 0.250 0.250 0.250
Rh: 0.626 0.626 0.122
Rh: 0.626 0.122 0.626
Rh: 0.626 0.626 0.626
Rh: 0.122 0.626 0.626
Zn: 0.000 0.000 0.000

Results
* total moment: 0.00 μB per formula unit
* electronic total energy: -36.2 eV for the cell shown
* formation enthalpy at 0 K: -0.237 eV/atom
* volume: 18.32 Å³/atom
* polymorph energy (0 for the lowest one): 0 meV/atom
* symmetry: F-43m (216)
* crystal system: cubic
* density of states at the Fermi level: 7.29 states/eV per cell


(11)
Compound: SrSnPbS3
Source: Alexandria via LeMat-Bulk
Functional: PBE-GGA
Structure: relaxed

a = 4.143 Å, b = 8.721 Å, c = 10.343 Å
α = 92.63°, β = 90.00°, γ = 90.00°
Sites, in units of the cell vectors:
Sr: 0.750 0.864 0.840
Sr: 0.250 0.136 0.160
Sn: 0.250 0.168 0.589
Sn: 0.750 0.832 0.411
Pb: 0.250 0.631 0.136
Pb: 0.750 0.369 0.864
S: 0.250 0.873 0.591
S: 0.750 0.882 0.131
S: 0.750 0.381 0.122
S: 0.750 0.127 0.409
S: 0.250 0.619 0.878
S: 0.250 0.118 0.869

Results
* total moment: 0.00 μB per formula unit
* electronic total energy: -55.1 eV for the cell shown
* volume: 31.11 Å³/atom
* symmetry: P2_1/m (11)
* crystal system: monoclinic
* density of states at the Fermi level: 0.00 states/eV per cell
* formation energy (no corrections): -0.97 eV/atom


(12)
Compound: PmSmSi
Source: Alexandria via LeMat-Bulk
Functional: PBE-GGA
Structure: relaxed

a = 4.975 Å, b = 4.975 Å, c = 4.975 Å
α = 60.00°, β = 60.00°, γ = 60.00°
Sites, in units of the cell vectors:
Si: 0.250 0.250 0.250
Sm: 0.000 0.000 0.000
Pm: 0.500 0.500 0.500

Results
* total moment: 0.00 μB per formula unit
* electronic total energy: -16.2 eV for the cell shown
* volume: 29.02 Å³/atom
* polymorph energy (0 for the lowest one): 42 meV/atom
* symmetry: F-43m (216)
* crystal system: cubic
* density of states at the Fermi level: 2.55 states/eV per cell
* formation energy (no corrections): -0.45 eV/atom